Entry 1:
Material: Dy3Ho3In2
Method: DFT, PBE
State: optimized geometry

For the excess energy over the best structure of this formula in the dataset, the calculation gives 113 meV per atom. For the energy of formation, the calculation gives -0.153 eV per atom. The energy is -4.280 eV/atom. The density of states at the Fermi level comes out at 1.08 states/eV/atom.

The structure belongs to space group Cmcm (No. 63); the cell edges are 5.1677, 11.7628 and 15.7127 Å and the angles 90.00°, 90.00° and 90.00°. The asymmetric unit holds Dy at (0.0000, 0.0348, 0.2500), Dy at (0.0000, 0.1429, 0.5309), Ho at (0.0000, 0.2472, 0.7500), Ho at (0.0000, 0.4593, 0.6033) and In at (0.0000, 0.2755, 0.1433).



Entry 2:
Material: DyHo6In4
Method: DFT, PBE
State: optimized geometry

For the energy of formation, the calculation gives -0.088 eV per atom. The energy is -4.000 eV/atom. The density of states at the Fermi level comes out at 1.23 states/eV/atom.

The structure belongs to space group I-42m (No. 121); the cell edges are 7.6919, 7.6919 and 11.6630 Å and the angles 90.00°, 90.00° and 90.00°. The asymmetric unit holds Dy at (0.0000, 0.0000, 0.0000), Ho at (0.0000, 0.5000, 0.0000), Ho at (0.1874, 0.1874, 0.2857) and In at (0.1690, 0.1690, 0.5672).



Entry 3:
Material: Dy5HoIn
Method: DFT, PBE
State: optimized geometry

For the energy of formation, the calculation gives 0.725 eV per atom. The energy is -3.607 eV/atom. The density of states at the Fermi level comes out at 1.18 states/eV/atom.

The structure belongs to space group Imm2 (No. 44); the cell edges are 7.9432, 11.5130 and 6.1261 Å and the angles 90.00°, 90.00° and 90.00°. The asymmetric unit holds Dy at (0.0000, 0.0000, 0.0000), Dy at (0.0000, 0.2471, 0.3069), Dy at (0.1850, 0.5000, 0.2131), Ho at (0.0000, 0.5000, 0.7105) and In at (0.0000, 0.0000, 0.4759).



Entry 4:
Material: Dy5Ho2In4
Method: DFT, PBE
State: optimized geometry

For the excess energy over the best structure of this formula in the dataset, the calculation gives 0 meV per atom. For the energy of formation, the calculation gives -0.245 eV per atom. The energy is -4.165 eV/atom. The density of states at the Fermi level comes out at 1.11 states/eV/atom.

The structure belongs to space group P2/m (No. 10); the cell edges are 8.5912, 3.4156 and 10.5053 Å and the angles 90.00°, 96.04° and 90.00°. The asymmetric unit holds Dy at (0.0000, 0.0000, 0.0000), Dy at (0.0358, 0.0000, 0.3323), Dy at (0.3372, 0.0000, 0.8560), Ho at (0.4158, 0.0000, 0.3607), In at (0.2536, 0.5000, 0.5760) and In at (0.3010, 0.5000, 0.1174).



Entry 5:
Material: Dy3Ho2In6
Method: DFT, PBE
State: optimized geometry

For the energy of formation, the calculation gives 0.098 eV per atom. The energy is -3.483 eV/atom. The density of states at the Fermi level comes out at 1.27 states/eV/atom.

The structure belongs to space group I4/mmm (No. 139); the cell edges are 5.7767, 5.7767 and 22.3218 Å and the angles 90.00°, 90.00° and 90.00°. The asymmetric unit holds Dy at (0.0000, 0.0000, 0.0000), Dy at (0.0000, 0.0000, 0.1456), Ho at (0.0000, 0.0000, 0.4229), In at (0.0000, 0.0000, 0.2845) and In at (0.0000, 0.5000, 0.0699).



Entry 6:
Material: Dy2Ho5In5
Method: DFT, PBE
State: optimized geometry

For the energy of formation, the calculation gives -0.305 eV per atom. The energy is -4.120 eV/atom. The density of states at the Fermi level comes out at 1.01 states/eV/atom.

The structure belongs to space group C2/m (No. 12); the cell edges are 11.9505, 5.0620 and 11.8244 Å and the angles 90.00°, 109.87° and 90.00°. The asymmetric unit holds Dy at (0.0744, 0.0000, 0.2578), Ho at (0.0000, 0.5000, 0.0000), Ho at (0.1319, 0.5000, 0.7760), Ho at (0.1519, 0.5000, 0.5011), In at (0.0000, 0.0000, 0.5000), In at (0.1665, 0.0000, 0.9661) and In at (0.2394, 0.5000, 0.2786).



Entry 7:
Material: Dy4HoIn3
Method: DFT, PBE
State: optimized geometry

For the excess energy over the best structure of this formula in the dataset, the calculation gives 0 meV per atom. For the energy of formation, the calculation gives -0.318 eV per atom. The energy is -4.218 eV/atom. The density of states at the Fermi level comes out at 1.30 states/eV/atom.

The structure belongs to space group R-3m (No. 166, hexagonal axes); the cell edges are 5.3516, 5.3516 and 27.1239 Å and the angles 90.00°, 90.00° and 120.00°. The asymmetric unit holds Dy at (0.0000, 0.0000, 0.1144), Dy at (0.0000, 0.0000, 0.3705), Ho at (0.0000, 0.0000, 0.5000), In at (0.0000, 0.0000, 0.0000) and In at (0.0000, 0.0000, 0.2370).



Entry 8:
Material: DyHo3In
Method: DFT, PBE
State: optimized geometry

For the energy of formation, the calculation gives -0.184 eV per atom. The energy is -4.398 eV/atom. The density of states at the Fermi level comes out at 1.21 states/eV/atom.

The structure belongs to space group Cmcm (No. 63); the cell edges are 4.7989, 25.0237 and 4.7960 Å and the angles 90.00°, 90.00° and 90.00°. The asymmetric unit holds Dy at (0.0000, 0.1495, 0.2500), Ho at (0.0000, 0.0490, 0.7500), Ho at (0.0000, 0.2500, 0.7500), Ho at (0.0000, 0.4478, 0.7500) and In at (0.0000, 0.3476, 0.2500).



Entry 9:
Material: Dy4Ho5In2
Method: DFT, PBE
State: optimized geometry

For the energy of formation, the calculation gives 0.035 eV per atom. The energy is -4.217 eV/atom. The density of states at the Fermi level comes out at 1.46 states/eV/atom.

The structure belongs to space group C2/m (No. 12); the cell edges are 24.4507, 3.4468 and 8.0385 Å and the angles 90.00°, 90.47° and 90.00°. The asymmetric unit holds Dy at (0.0442, 0.0000, 0.1595), Dy at (0.0892, 0.0000, 0.7631), Ho at (0.0000, 0.5000, 0.5000), Ho at (0.1622, 0.0000, 0.4013), Ho at (0.2251, 0.0000, 0.8001) and In at (0.1536, 0.5000, 0.0626).



Entry 10:
Material: Dy6Ho8In
Method: DFT, PBE
State: optimized geometry

For the excess energy over the best structure of this formula in the dataset, the calculation gives 0 meV per atom. For the energy of formation, the calculation gives 0.023 eV per atom. The energy is -4.442 eV/atom. The density of states at the Fermi level comes out at 1.30 states/eV/atom.

The structure belongs to space group R-3 (No. 148, hexagonal axes); the cell edges are 8.9413, 8.9413 and 20.0764 Å and the angles 90.00°, 90.00° and 120.00°. The asymmetric unit holds Dy at (0.0642, 0.2538, 0.2049), Ho at (0.0000, 0.0000, 0.0760), Ho at (0.0822, 0.5568, 0.3092) and In at (0.0000, 0.0000, 0.5000).



Entry 11:
Material: DyHo5In
Method: DFT, PBE
State: optimized geometry

For the energy of formation, the calculation gives 0.729 eV per atom. The energy is -3.590 eV/atom. The density of states at the Fermi level comes out at 1.17 states/eV/atom.

The structure belongs to space group Imm2 (No. 44); the cell edges are 7.9334, 11.4747 and 6.1256 Å and the angles 90.00°, 90.00° and 90.00°. The asymmetric unit holds Dy at (0.0000, 0.0000, 0.0000), Ho at (0.0000, 0.2527, 0.3986), Ho at (0.0000, 0.5000, 0.7092), Ho at (0.1850, 0.0000, 0.4983) and In at (0.0000, 0.5000, 0.2337).



Entry 12:
Material: Dy6HoIn3
Method: DFT, PBE
State: optimized geometry

For the excess energy over the best structure of this formula in the dataset, the calculation gives 0 meV per atom. For the energy of formation, the calculation gives -0.266 eV per atom. The energy is -4.307 eV/atom. The density of states at the Fermi level comes out at 1.10 states/eV/atom.

The structure belongs to space group P2_1/m (No. 11); the cell edges are 10.2587, 5.0888 and 11.1076 Å and the angles 90.00°, 97.07° and 90.00°. The asymmetric unit holds Dy at (0.0473, 0.2500, 0.4029), Dy at (0.1358, 0.7500, 0.1878), Dy at (0.2277, 0.2500, 0.9839), Dy at (0.3251, 0.7500, 0.7804), Dy at (0.3547, 0.2500, 0.2821), Dy at (0.4330, 0.2500, 0.5911), Ho at (0.4518, 0.7500, 0.0949), In at (0.0455, 0.7500, 0.8899), In at (0.1413, 0.2500, 0.6919) and In at (0.2541, 0.7500, 0.4725).